Computed, not measured: Al2Ag5 after structural relaxation at the PBEsol level of DFT.

Calculated total energy ... -3.582 eV per atom
Calculated formation energy ... -0.34 eV/f.u.
ΔE to the lowest computed polymorph ... 42.5 meV per atom

Cell: 2.888 2.888 15.862 Å, 84.78 84.78 60.00°
Atoms (fractional coordinates):
Al (0.714, 0.714, 0.859)
Al (0.286, 0.286, 0.141)
Ag (0.858, 0.858, 0.426)
Ag (0.000, 0.000, 0.000)
Ag (0.574, 0.574, 0.278)
Ag (0.142, 0.142, 0.574)
Ag (0.426, 0.426, 0.722)